# 1
First-principles (PBE-GGA) data for a geometry-optimized Ba3Pm3Te8Pb structure, as listed in Alexandria.

a = 9.2617 Å, b = 9.2617 Å, c = 23.8333 Å
α = 90.00°, β = 90.00°, γ = 120.00°
Space group R-3m (No. 166, hexagonal axes)
Inequivalent atoms, fractional coordinates:
Ba: 0.0000 0.5000 0.0000 x9
Pm: 0.0000 0.5000 0.5000 x9
Te: 0.0000 0.0000 0.2409 x6
Te: 0.0123 0.5061 0.7583 x18
Pb: 0.0000 0.0000 0.5000 x3

Properties
uncorrected formation energy	-1.4174	eV/atom
crystal system	trigonal

***

# 2
First-principles (PBE-GGA) data for a geometry-optimized Sc2BeAlC structure, as listed in Alexandria.

a = 4.5047 Å, b = 4.5047 Å, c = 3.8766 Å
α = 90.00°, β = 90.00°, γ = 90.00°
Space group P4/mmm (No. 123)
Inequivalent atoms, fractional coordinates:
Sc: 0.0000 0.5000 0.0000 x2
Be: 0.0000 0.0000 0.5000 x1
Al: 0.5000 0.5000 0.5000 x1
C: 0.5000 0.5000 0.0000 x1

Properties
offset from the most stable computed form	145	meV/atom
DFT formation energy	-190	meV/atom
crystal system	tetragonal

***

Which uncorrected energy belongs to each record? In order, -4.675 -6.061 eV per atom.
Which N(E_F) belongs to each record? In order, 0.279 0.679 states/eV per atom.